#w
The following is a DFT calculation (GGA-PBE) of Nd2Sm4Sc after structural relaxation.

Cell and atoms, written as POSCAR:
```
Nd2Sm4Sc
1.0
8.6743 1.0302 -3.7833
-3.1137 5.3513 -0.5126
-1.2866 1.3607 9.3037
Sm Sc Nd
8 2 4
direct
0.9101 0.9471 0.0671
0.3399 0.9449 0.3612
0.7666 0.9380 0.6467
0.2663 0.4440 0.1454
0.5542 0.4481 0.9930
0.9832 0.4490 0.2822
0.0568 0.9551 0.4996
0.1929 0.9381 0.9292
0.4141 0.4488 0.5730
0.8360 0.4448 0.8560
0.6251 0.9462 0.2144
0.1251 0.4462 0.7142
0.6958 0.4448 0.4355
0.4840 0.9548 0.7825
```

Magnetization (μB per atom): 0.000
Space group: P1



#x
The following is a DFT calculation (GGA-PBE) of Nd2Sm4Sc after structural relaxation.

Cell and atoms, written as POSCAR:
```
Nd2Sm4Sc
1.0
-2.2736 4.6876 3.2379
-6.0271 -2.8186 -0.1516
3.3950 -7.6922 8.0459
Nd Sm Sc
4 8 2
direct
0.3901 0.2500 0.0021
0.2796 0.2500 0.4213
0.7204 0.7500 0.5787
0.6099 0.7500 0.9979
0.6428 0.9910 0.2847
0.0356 0.7500 0.8703
0.1516 0.7500 0.4435
0.8484 0.2500 0.5565
0.9644 0.2500 0.1297
0.3572 0.4910 0.7153
0.3572 0.0090 0.7153
0.6428 0.5090 0.2847
0.1413 0.7500 0.1635
0.8587 0.2500 0.8365
```

Magnetization (μB per atom): 0.000
Space group: P2_1/m



Stability ranking, top entry: #w; the second entry is 9.6 kJ/mol of atoms less favorable.